# 1
VASP calculation (GGA-PBE) on an optimized crystal structure of SmAl4Cu4.

Summary:
SG = I4/m (87)
ΔH_f (0 K) = -0.190 eV per atom
D(E_F) = 0.5696 states/eV per atom

Cell lengths 4.4768, 8.3576, 8.3576 Å; angles 90.00, 90.00, 90.00 degrees
Sites, in units of the cell vectors:
Sm 0.0000 0.0000 0.0000
Sm 0.5000 0.5000 0.5000
Cu 0.0000 0.2047 0.3253
Cu 0.5000 0.1747 0.7047
Cu 0.0000 0.6747 0.2047
Cu 0.0000 0.3253 0.7953
Cu 0.5000 0.8253 0.2953
Cu 0.5000 0.7047 0.8253
Cu 0.5000 0.2953 0.1747
Cu 0.0000 0.7953 0.6747
Al 0.5000 0.3895 0.8900
Al 0.0000 0.3900 0.1105
Al 0.0000 0.8895 0.3900
Al 0.5000 0.8900 0.6105
Al 0.0000 0.1105 0.6100
Al 0.5000 0.1100 0.3895
Al 0.5000 0.6105 0.1100
Al 0.0000 0.6100 0.8895

# 2
VASP calculation (GGA-PBE) on an optimized crystal structure of Sm4Al3Cu.

Summary:
SG = Pmm2 (25)
ΔH_f (0 K) = -0.301 eV per atom
ΔE to the lowest computed polymorph = 18 meV/atom
D(E_F) = 0.9646 states/eV per atom

Cell lengths 3.7066, 4.5236, 11.9340 Å; angles 90.00, 90.00, 90.00 degrees
Sites, in units of the cell vectors:
Al 0.0000 0.0000 0.4342
Al 0.5000 0.0000 0.9391
Al 0.0000 0.5000 0.5638
Sm 0.5000 0.5000 0.3402
Sm 0.0000 0.5000 0.8551
Sm 0.5000 0.0000 0.6564
Sm 0.0000 0.0000 0.1487
Cu 0.5000 0.5000 0.0625

# 3
VASP calculation (GGA-PBE) on an optimized crystal structure of SmAlCu5.

Summary:
SG = Pnma (62)
ΔH_f (0 K) = -0.254 eV per atom
D(E_F) = 0.6017 states/eV per atom

Cell lengths 5.0532, 8.1228, 10.2952 Å; angles 90.00, 90.00, 90.00 degrees
Sites, in units of the cell vectors:
Al 0.2500 0.8527 0.8551
Al 0.2500 0.3527 0.6449
Al 0.7500 0.1473 0.1449
Al 0.7500 0.6473 0.3551
Cu 0.9939 0.9343 0.3058
Cu 0.0061 0.0657 0.6942
Cu 0.4939 0.5657 0.8058
Cu 0.0061 0.5657 0.8058
Cu 0.2500 0.5934 0.0157
Cu 0.7500 0.9066 0.5157
Cu 0.7500 0.8188 0.7537
Cu 0.7500 0.5646 0.5920
Cu 0.4939 0.0657 0.6942
Cu 0.9939 0.4343 0.1942
Cu 0.2500 0.9354 0.0920
Cu 0.7500 0.3188 0.7463
Cu 0.7500 0.0646 0.9080
Cu 0.5061 0.4343 0.1942
Cu 0.2500 0.1812 0.2463
Cu 0.2500 0.4354 0.4080
Cu 0.5061 0.9343 0.3058
Cu 0.7500 0.4066 0.9843
Cu 0.2500 0.6812 0.2537
Cu 0.2500 0.0934 0.4843
Sm 0.7500 0.2578 0.4428
Sm 0.2500 0.7422 0.5572
Sm 0.2500 0.2422 0.9428
Sm 0.7500 0.7578 0.0572

# 4
VASP calculation (GGA-PBE) on an optimized crystal structure of SmAl3Cu2.

Summary:
SG = Cmcm (63)
ΔH_f (0 K) = -0.364 eV per atom
D(E_F) = 0.3010 states/eV per atom

Cell lengths 5.1461, 6.4736, 6.4736 Å; angles 102.99, 90.00, 90.00 degrees
Sites, in units of the cell vectors:
Al 0.7500 0.0908 0.4665
Al 0.2500 0.5335 0.9092
Al 0.2500 0.9092 0.5335
Al 0.7500 0.4665 0.0908
Al 0.7500 0.0580 0.0580
Al 0.2500 0.9420 0.9420
Cu 0.0000 0.7913 0.2087
Cu 0.0000 0.2087 0.7913
Cu 0.5000 0.2087 0.7913
Cu 0.5000 0.7913 0.2087
Sm 0.2500 0.3348 0.3348
Sm 0.7500 0.6652 0.6652

# 5
VASP calculation (GGA-PBE) on an optimized crystal structure of SmAl2Cu2.

Summary:
SG = I4/mmm (139)
ΔH_f (0 K) = -0.418 eV per atom
D(E_F) = 0.5031 states/eV per atom

Cell lengths 4.0743, 4.0743, 6.1111 Å; angles 109.47, 109.47, 90.00 degrees
Sites, in units of the cell vectors:
Cu 0.3858 0.3858 0.7715
Cu 0.6142 0.6142 0.2285
Al 0.7500 0.2500 0.5000
Al 0.2500 0.7500 0.5000
Sm 0.0000 0.0000 0.0000

# 6
VASP calculation (GGA-PBE) on an optimized crystal structure of SmAl2Cu.

Summary:
SG = R-3m (166)
ΔH_f (0 K) = 0.070 eV per atom
D(E_F) = 0.5294 states/eV per atom

Cell lengths 3.1295, 3.1295, 9.4291 Å; angles 80.45, 80.45, 60.00 degrees
Sites, in units of the cell vectors:
Sm 0.5000 0.5000 0.5000
Al 0.7349 0.7349 0.7954
Al 0.2651 0.2651 0.2046
Cu 0.0000 0.0000 0.0000

# 7
VASP calculation (GGA-PBE) on an optimized crystal structure of Sm3Al4Cu4.

Summary:
SG = I-43m (217)
ΔH_f (0 K) = -0.320 eV per atom
D(E_F) = 0.5693 states/eV per atom

Cell lengths 6.5732, 6.5732, 6.5732 Å; angles 109.47, 109.47, 109.47 degrees
Sites, in units of the cell vectors:
Sm 0.5000 0.0000 0.5000
Sm 0.0000 0.5000 0.5000
Sm 0.5000 0.5000 0.0000
Cu 0.0000 0.0000 0.6267
Cu 0.0000 0.6267 0.0000
Cu 0.6267 0.0000 0.0000
Cu 0.3733 0.3733 0.3733
Al 0.2678 0.0000 0.0000
Al 0.7322 0.7322 0.7322
Al 0.0000 0.2678 0.0000
Al 0.0000 0.0000 0.2678

# 8
VASP calculation (GGA-PBE) on an optimized crystal structure of SmThAlCu.

Summary:
SG = F-43m (216)
ΔH_f (0 K) = -0.153 eV per atom
D(E_F) = 1.2435 states/eV per atom

Cell lengths 5.1623, 5.1623, 5.1623 Å; angles 60.00, 60.00, 60.00 degrees
Sites, in units of the cell vectors:
Th 0.2500 0.2500 0.2500
Cu 0.0000 0.0000 0.0000
Sm 0.7500 0.7500 0.7500
Al 0.5000 0.5000 0.5000